No. 1
NaBiIr3 | PBEsol | optimized geometry

## Properties
Calculated formation energy ... 1.921 eV/atom
Offset from the most stable computed form ... 0 meV/atom
ρ ... 10.9 g/cm3
DFT total energy ... -0.1878 hartree per atom

Cell: 4.981 4.981 4.981 Å, 90.00 90.00 90.00°
Fractional positions:
Na 0.000 0.000 0.000
Bi 0.500 0.500 0.500
Ir 0.000 0.500 0.500
Ir 0.500 0.000 0.500
Ir 0.500 0.500 0.000


No. 2
Bi12IrO20 | PBEsol | optimized geometry

## Properties
ρ ... 9.6 g/cm3
DFT total energy ... -0.2255 hartree per atom
Formation energy (no corrections) ... -1099 meV per atom

Cell: 8.787 8.787 8.787 Å, 109.47 109.47 109.47°
Fractional positions:
Bi 0.147 0.840 0.336
Bi 0.160 0.307 0.496
Bi 0.190 0.693 0.853
Bi 0.307 0.496 0.160
Bi 0.336 0.147 0.840
Bi 0.496 0.160 0.307
Bi 0.504 0.810 0.664
Bi 0.664 0.504 0.810
Bi 0.693 0.853 0.190
Bi 0.810 0.664 0.504
Bi 0.840 0.336 0.147
Bi 0.853 0.190 0.693
Ir 0.000 0.000 0.000
O 0.000 0.000 0.387
O 0.000 0.000 0.780
O 0.000 0.387 0.000
O 0.000 0.780 0.000
O 0.120 0.361 0.744
O 0.220 0.220 0.220
O 0.240 0.880 0.623
O 0.256 0.617 0.377
O 0.361 0.744 0.120
O 0.377 0.256 0.617
O 0.383 0.639 0.760
O 0.387 0.000 0.000
O 0.613 0.613 0.613
O 0.617 0.377 0.256
O 0.623 0.240 0.880
O 0.639 0.760 0.383
O 0.744 0.120 0.361
O 0.760 0.383 0.639
O 0.780 0.000 0.000
O 0.880 0.623 0.240


No. 3
Bi3Ir3O11 | PBEsol | optimized geometry

## Properties
ρ ... 11.2 g/cm3
DFT total energy ... -0.2540 hartree per atom
Formation energy (no corrections) ... -1025 meV per atom

Cell: 9.366 9.366 9.366 Å, 90.00 90.00 90.00°
Fractional positions:
Bi 0.000 0.000 0.000
Bi 0.000 0.500 0.500
Bi 0.116 0.116 0.384
Bi 0.116 0.384 0.116
Bi 0.384 0.116 0.116
Bi 0.384 0.384 0.384
Bi 0.500 0.000 0.500
Bi 0.500 0.500 0.000
Bi 0.616 0.616 0.616
Bi 0.616 0.884 0.884
Bi 0.884 0.616 0.884
Bi 0.884 0.884 0.616
Ir 0.091 0.750 0.250
Ir 0.250 0.091 0.750
Ir 0.250 0.409 0.750
Ir 0.250 0.750 0.591
Ir 0.250 0.750 0.909
Ir 0.409 0.750 0.250
Ir 0.591 0.250 0.750
Ir 0.750 0.250 0.091
Ir 0.750 0.250 0.409
Ir 0.750 0.591 0.250
Ir 0.750 0.909 0.250
Ir 0.909 0.250 0.750
O 0.040 0.082 0.756
O 0.040 0.418 0.744
O 0.082 0.744 0.460
O 0.082 0.756 0.040
O 0.109 0.750 0.750
O 0.147 0.147 0.147
O 0.147 0.353 0.353
O 0.244 0.540 0.582
O 0.244 0.960 0.918
O 0.250 0.250 0.609
O 0.250 0.250 0.891
O 0.250 0.609 0.250
O 0.250 0.891 0.250
O 0.256 0.540 0.918
O 0.256 0.960 0.582
O 0.353 0.147 0.353
O 0.353 0.353 0.147
O 0.391 0.750 0.750
O 0.418 0.744 0.040
O 0.418 0.756 0.460
O 0.460 0.082 0.744
O 0.460 0.418 0.756
O 0.540 0.582 0.244
O 0.540 0.918 0.256
O 0.582 0.244 0.540
O 0.582 0.256 0.960
O 0.609 0.250 0.250
O 0.647 0.647 0.853
O 0.647 0.853 0.647
O 0.744 0.040 0.418
O 0.744 0.460 0.082
O 0.750 0.109 0.750
O 0.750 0.391 0.750
O 0.750 0.750 0.109
O 0.750 0.750 0.391
O 0.756 0.040 0.082
O 0.756 0.460 0.418
O 0.853 0.647 0.647
O 0.853 0.853 0.853
O 0.891 0.250 0.250
O 0.918 0.244 0.960
O 0.918 0.256 0.540
O 0.960 0.582 0.256
O 0.960 0.918 0.244


Question: Among the records above, which one has the highest ρ?
Answer: Bi3Ir3O11